Below is Rb2CaS after structural relaxation, with properties calculated at the PBE level.

a b c (Å): 12.909 12.909 9.510
angles (deg): 47.26 47.26 90.00
Sites, in units of the cell vectors:
1 Rb 0.375 0.538 0.750
2 Rb 0.288 0.625 0.250
3 Rb 0.875 0.712 0.750
4 Rb 0.462 0.125 0.250
5 S 0.250 0.750 0.500
6 S 0.500 0.500 0.000
7 Ca 0.000 0.000 0.000
8 Ca 0.750 0.250 0.500

Values from the calculation:
Energy: -2.683 eV per atom
Spin magnetization: 0.000 μB per atom

Below is TlRhSe2O8 after structural relaxation, with properties calculated at the PBE level.

a b c (Å): 5.048 5.048 8.426
angles (deg): 85.17 85.17 66.30
Sites, in units of the cell vectors:
1 O 0.248 0.745 0.821
2 O 0.255 0.752 0.179
3 O 0.242 0.242 0.981
4 O 0.758 0.758 0.019
5 O 0.745 0.248 0.821
6 O 0.310 0.310 0.636
7 O 0.690 0.690 0.364
8 O 0.752 0.255 0.179
9 Tl 0.000 0.000 0.500
10 Se 0.374 0.374 0.814
11 Se 0.626 0.626 0.186
12 Rh 0.000 0.000 0.000

Values from the calculation:
Energy: -5.352 eV per atom
Spin magnetization: 0.000 μB per atom

- Which of these has the highest energy?
  Rb2CaS

Copy entry 2 word for word.
Below is TlRhSe2O8 after structural relaxation, with properties calculated at the PBE level.

a b c (Å): 5.048 5.048 8.426
angles (deg): 85.17 85.17 66.30
Sites, in units of the cell vectors:
1 O 0.248 0.745 0.821
2 O 0.255 0.752 0.179
3 O 0.242 0.242 0.981
4 O 0.758 0.758 0.019
5 O 0.745 0.248 0.821
6 O 0.310 0.310 0.636
7 O 0.690 0.690 0.364
8 O 0.752 0.255 0.179
9 Tl 0.000 0.000 0.500
10 Se 0.374 0.374 0.814
11 Se 0.626 0.626 0.186
12 Rh 0.000 0.000 0.000

Values from the calculation:
Energy: -5.352 eV per atom
Spin magnetization: 0.000 μB per atom

- Which formula does entry 2 have?
  TlRhSe2O8